The following is a DFT calculation (GGA-PBE) of crystalline PrP4Pd12 at its relaxed geometry.

As for the crystal system: cubic.

It has space group Im-3 (No. 204), with a = 8.374 Å, b = 8.374 Å, c = 8.374 Å, α = 90.00°, β = 90.00° and γ = 90.00°. The asymmetric unit holds Pr at (0.000, 0.000, 0.000), P at (0.250, 0.250, 0.250) and Pd at (0.000, 0.173, 0.337).

The following is a DFT calculation (GGA-PBE) of crystalline PrP2Pd5 at its relaxed geometry.

As for the crystal system: orthorhombic.

It has space group Immm (No. 71), with a = 4.131 Å, b = 7.036 Å, c = 9.363 Å, α = 90.00°, β = 90.00° and γ = 90.00°. The asymmetric unit holds Pr at (0.000, 0.000, 0.000), P at (0.000, 0.500, 0.249), Pd at (0.000, 0.197, 0.345) and Pd at (0.000, 0.500, 0.000).

Energy relative to the elements per entry: -44.32; -71.88 kJ per mole of atoms
Raw total energy per entry: -5.68; -5.94 eV/atom
Calculated density per entry: 8.7; 9.0 g/cm3